Record 1
! ThZn3Pt | Alexandria | PBE | optimized geometry; values from VASP
&SYSTEM
  ibrav = 0, nat = 20, ntyp = 3
/
ATOMIC_SPECIES
Zn 65.41 Zn.upf
Th 232.04 Th.upf
Pt 195.08 Pt.upf
CELL_PARAMETERS angstrom
-4.001 0.848 1.263
-3.019 -5.066 -6.163
0.342 -8.336 6.685
ATOMIC_POSITIONS crystal
Zn 0.250 0.569 0.110
Th 0.250 0.699 0.498
Zn 0.250 0.866 0.207
Zn 0.750 0.099 0.213
Zn 0.750 0.134 0.793
Pt 0.750 0.878 0.368
Pt 0.250 0.622 0.868
Pt 0.750 0.378 0.132
Zn 0.250 0.366 0.293
Th 0.750 0.301 0.502
Zn 0.750 0.431 0.890
Zn 0.250 0.901 0.787
Zn 0.750 0.599 0.287
Zn 0.250 0.069 0.390
Zn 0.750 0.931 0.610
Th 0.250 0.199 0.002
Th 0.750 0.801 0.998
Pt 0.250 0.122 0.632
Zn 0.250 0.401 0.713
Zn 0.750 0.634 0.707
! - final energy (eV for the cell shown) = -78.669
! - ΔE_f (eV per atom) = -0.4769
! - size of the total moment (μB/f.u.) = 0.000
! - DOS at the Fermi energy (states/eV/f.u.) = 3.650

=====

Record 2
! CrGeN2 | Alexandria | PBE | optimized geometry; values from VASP
&SYSTEM
  ibrav = 0, nat = 16, ntyp = 3
/
ATOMIC_SPECIES
N 14.01 N.upf
Ge 72.64 Ge.upf
Cr 52.00 Cr.upf
CELL_PARAMETERS angstrom
5.378 0.000 0.000
0.000 5.416 0.000
0.000 0.000 6.628
ATOMIC_POSITIONS crystal
N 0.850 0.434 0.604
N 0.896 0.912 0.364
Ge 0.498 0.922 0.875
N 0.850 0.934 0.896
Cr 0.506 0.915 0.368
Ge 0.998 0.578 0.375
N 0.396 0.088 0.636
Cr 0.006 0.585 0.868
Cr 0.006 0.085 0.632
N 0.396 0.588 0.864
N 0.896 0.412 0.136
Ge 0.498 0.422 0.625
Ge 0.998 0.078 0.125
N 0.350 0.566 0.396
N 0.350 0.066 0.104
Cr 0.506 0.415 0.132
! - ΔE_f (raw) (kJ/mol of atoms) = 4.9
! - final energy (eV for the cell shown) = -122.748
! - size of the total moment (μB/f.u.) = 4.002
! - DOS at the Fermi energy (states/eV/f.u.) = 1.530

=====

Record 3
! Dy3MnAg4S8 | Alexandria | PBE | optimized geometry; values from VASP
&SYSTEM
  ibrav = 0, nat = 16, ntyp = 4
/
ATOMIC_SPECIES
Dy 162.50 Dy.upf
Ag 107.87 Ag.upf
S 32.06 S.upf
Mn 54.94 Mn.upf
CELL_PARAMETERS angstrom
-6.808 -1.614 3.407
-3.275 -2.677 -7.811
6.753 -2.543 3.402
ATOMIC_POSITIONS crystal
Dy 0.500 0.500 0.000
Ag 0.000 0.000 0.500
S 0.233 0.706 0.026
S 0.732 0.268 0.465
Mn 0.000 0.500 0.000
Ag 0.500 0.000 0.000
Ag 0.000 0.000 0.000
Dy 0.000 0.500 0.500
S 0.268 0.732 0.535
S 0.761 0.726 0.521
S 0.239 0.274 0.479
Dy 0.500 0.500 0.500
S 0.793 0.706 0.026
Ag 0.500 0.000 0.500
S 0.767 0.294 0.974
S 0.207 0.294 0.974
! - ΔE_f (raw) (kJ/mol of atoms) = -99.1
! - final energy (eV for the cell shown) = -83.838
! - size of the total moment (μB/f.u.) = 3.998

=====

Record 4
! RbLiNpCl6 | Alexandria | PBE | optimized geometry; values from VASP
&SYSTEM
  ibrav = 0, nat = 18, ntyp = 4
/
ATOMIC_SPECIES
Cl 35.45 Cl.upf
Li 6.94 Li.upf
Np 237.00 Np.upf
Rb 85.47 Rb.upf
CELL_PARAMETERS angstrom
6.834 0.000 0.000
-3.417 5.918 0.000
0.000 0.000 14.715
ATOMIC_POSITIONS crystal
Cl 0.629 0.999 0.851
Cl 0.630 0.001 0.351
Li 0.333 0.667 0.250
Cl 0.999 0.370 0.149
Np 0.667 0.333 0.250
Cl 0.629 0.630 0.649
Cl 0.001 0.371 0.649
Li 0.667 0.333 0.750
Cl 0.001 0.630 0.851
Cl 0.370 0.999 0.649
Rb 0.000 0.000 0.500
Rb 0.000 0.000 0.000
Cl 0.999 0.629 0.351
Np 0.333 0.667 0.750
Cl 0.371 0.370 0.351
Cl 0.370 0.371 0.851
Cl 0.630 0.629 0.149
Cl 0.371 0.001 0.149
! - ΔE_f (raw) (kJ/mol of atoms) = -173.0
! - final energy (eV for the cell shown) = -86.078
! - size of the total moment (μB/f.u.) = 3.000
! - DOS at the Fermi energy (states/eV/f.u.) = 4.601

=====

Record 5
! BaNa2MnNb | Alexandria | PBE | optimized geometry; values from VASP
&SYSTEM
  ibrav = 0, nat = 5, ntyp = 4
/
ATOMIC_SPECIES
Na 22.99 Na.upf
Ba 137.33 Ba.upf
Mn 54.94 Mn.upf
Nb 92.91 Nb.upf
CELL_PARAMETERS angstrom
5.467 0.000 0.000
0.000 5.356 0.000
0.000 0.000 5.467
ATOMIC_POSITIONS crystal
Na 0.000 0.000 0.500
Na 0.500 0.000 0.000
Ba 0.000 0.000 0.000
Mn 0.500 0.500 0.500
Nb 0.000 0.500 0.000
! - final energy (eV for the cell shown) = -11.935
! - ΔE_f (eV per atom) = 2.3731
! - size of the total moment (μB/f.u.) = 0.472
! - DOS at the Fermi energy (states/eV/f.u.) = 11.990

=====

Record 6
! NdP3Rh6 | Alexandria | PBE | optimized geometry; values from VASP
&SYSTEM
  ibrav = 0, nat = 10, ntyp = 3
/
ATOMIC_SPECIES
Rh 102.91 Rh.upf
P 30.97 P.upf
Nd 144.24 Nd.upf
CELL_PARAMETERS angstrom
-5.094 0.950 -2.307
1.924 -5.457 0.489
0.533 2.460 6.517
ATOMIC_POSITIONS crystal
Rh 0.622 0.579 0.274
Rh 0.241 0.287 0.687
Rh 0.200 0.757 0.247
Rh 0.748 0.311 0.690
Rh 0.255 0.795 0.693
P 0.331 0.657 0.986
Rh 0.794 0.164 0.246
Nd 0.869 0.901 0.837
P 0.645 0.317 0.981
P 0.295 0.231 0.359
! - final energy (eV for the cell shown) = -72.637
! - ΔE_f (eV per atom) = -0.7531
! - size of the total moment (μB/f.u.) = 0.000
! - DOS at the Fermi energy (states/eV/f.u.) = 4.690

=====

Record 7
! Nd2PuN3 | Alexandria | PBE | optimized geometry; values from VASP
&SYSTEM
  ibrav = 0, nat = 6, ntyp = 3
/
ATOMIC_SPECIES
N 14.01 N.upf
Nd 144.24 Nd.upf
Pu 244.00 Pu.upf
CELL_PARAMETERS angstrom
-2.046 -0.479 -2.970
-0.396 -4.980 1.076
-4.465 3.520 2.508
ATOMIC_POSITIONS crystal
N 0.000 0.500 0.000
N 0.500 0.131 0.263
Nd 0.500 0.650 0.300
N 0.500 0.869 0.737
Nd 0.500 0.350 0.700
Pu 0.000 0.000 0.000
! - ΔE_f (raw) (kJ/mol of atoms) = -114.8
! - final energy (eV for the cell shown) = -55.980
! - energy above the most stable polymorph in this dataset (eV/atom) = 0.134
! - size of the total moment (μB/f.u.) = 4.608
! - DOS at the Fermi energy (states/eV/f.u.) = 7.092

=====

Record 8
! Ba2Tl2O5 | Alexandria | PBE | optimized geometry; values from VASP
&SYSTEM
  ibrav = 0, nat = 18, ntyp = 3
/
ATOMIC_SPECIES
Ba 137.33 Ba.upf
O 16.00 O.upf
Tl 204.38 Tl.upf
CELL_PARAMETERS angstrom
6.105 0.000 -2.001
-0.633 5.849 -1.932
-0.200 -0.094 9.705
ATOMIC_POSITIONS crystal
Ba 0.409 0.896 0.781
O 0.245 0.742 0.975
O 0.230 0.242 0.975
Ba 0.128 0.616 0.219
O 0.132 0.634 0.500
Tl 0.808 0.774 0.500
O 0.791 0.816 0.724
O 0.868 0.134 0.500
O 0.567 0.592 0.276
Ba 0.872 0.396 0.781
O 0.209 0.092 0.276
O 0.755 0.767 0.025
Ba 0.591 0.116 0.219
O 0.433 0.316 0.724
Tl 0.192 0.274 0.500
Tl 0.000 0.998 0.000
O 0.770 0.267 0.025
Tl 0.500 0.498 0.000
! - ΔE_f (raw) (kJ/mol of atoms) = -151.7
! - final energy (eV for the cell shown) = -95.031
! - energy above the most stable polymorph in this dataset (eV/atom) = 0.002
! - size of the total moment (μB/f.u.) = 0.000
! - DOS at the Fermi energy (states/eV/f.u.) = 0.293